A relaxed VIn2SBr crystal. Source: the Alexandria database, functional GGA-PBE.

Properties
Formation energy without anion corrections ... -0.2419 eV per atom
Spin magnetization ... 2.460 μB/cell

Unit cell a=5.5722 b=5.5722 c=4.3908 alpha=90.00 beta=90.00 gamma=90.00
Closest atoms and distances in Å follow each position.
Fractional positions:
V (0.0000, 0.0000, 0.0000)  2 S 2.20
In (0.0000, 0.5000, 0.0000)  2 V 2.79
In (0.5000, 0.0000, 0.0000)  2 V 2.79
S (0.0000, 0.0000, 0.5000)  2 V 2.20
Br (0.5000, 0.5000, 0.5000)  8 In 3.55, 4 S 3.94